The following is a PBE calculation of a relaxed structure of AlSiPN4, from Alexandria.

Geometry as extended XYZ:
```
7
Lattice="4.6548 0.0000 0.0002 0.0000 2.7946 0.0000 -1.5174 0.0000 5.9526" Properties=species:S:1:pos:R:3 pbc="T T T"
Al 0.0205 1.3973 5.0623
Si 2.8861 1.3973 3.4134
P 3.9194 0.0000 0.8257
N 0.1761 1.3973 0.5956
N 3.1409 0.0000 2.2081
N 1.2636 0.0000 5.4778
N 1.8863 0.0000 4.1207
```

Computed properties:
Relative energy among the computed polymorphs: 11.93 kcal/mol of atoms
Uncorrected formation energy: -263 meV/atom
Size of the total moment: 0.000 μB/cell
ρ: 3.05 g/cm³
V: 77.4 Å³ per cell

The following is a PBE calculation of a relaxed structure of Tb6Y4Tm19, from Alexandria.

Geometry as extended XYZ:
```
29
Lattice="-4.9862 5.3590 7.7885 -7.2515 -4.4187 -6.4914 6.0887 -7.6689 4.2853" Properties=species:S:1:pos:R:3 pbc="T T T"
Tb -0.1724 -6.9008 3.3765
Tb -5.9767 0.1721 2.2060
Tb -2.1600 -5.9225 -0.9358
Tb -3.9891 -0.8061 6.5182
Tb -6.5502 -4.0145 -0.1699
Tb 0.4012 -2.7141 5.7523
Y -3.3399 -9.3454 -3.7384
Y -4.6586 -2.8387 -4.1703
Y -2.1987 -2.4060 1.9961
Y -3.2033 3.4428 5.0036
Tm -6.4368 -6.1258 2.4314
Tm 0.2877 -0.6028 3.1510
Tm 2.8949 -7.4235 4.6238
Tm -9.0440 0.6949 0.9586
Tm -5.8456 -3.5740 6.1582
Tm -5.2897 2.2044 7.2128
Tm 0.0000 0.0000 0.0000
Tm 0.7490 -3.9953 2.4444
Tm -6.3769 2.6841 4.1268
Tm -5.3311 -2.8538 2.9719
Tm -3.8431 -6.0741 -3.6383
Tm -1.3391 -9.2923 1.6218
Tm -2.8001 0.3807 3.8094
Tm -2.4549 -2.2022 8.9382
Tm -3.2001 -5.5617 2.0555
Tm -9.0927 -2.6068 1.1392
Tm 3.0848 -4.4176 5.9892
Tm -3.7491 -2.7324 -0.9881
Tm -2.5411 -3.7005 5.0246
```

Computed properties:
Size of the total moment: 0.001 μB/cell
ρ: 7.98 g/cm³
DFT formation energy: 0.395 eV per atom
V: 940.0 Å³ per cell